Here is an optimized crystal structure of VGaI2O from the Alexandria database. Energies are from PBE+U.

Cell and atoms, written as POSCAR:
```
VGaI2O
1.0
6.319 0.000 0.000
0.000 6.319 0.000
0.000 0.000 3.578
V Ga I O
1 1 2 1
Direct
0.000 0.000 0.000
0.500 0.500 0.000
0.000 0.500 0.500
0.500 0.000 0.500
0.500 0.500 0.500
```

Properties
Excess energy over the best structure of this formula in the dataset in eV/atom: 0.818